Record 1
PBE SiTe2HAu, optimized geometry; uncorrected energy = -16.53 eV for the cell shown; crystal system = tetragonal; volume = 107.15 Å³/f.u.; magnetic moment = 0.00 μB per cell
1.0
5.572 0.000 0.000
0.000 5.572 0.000
0.000 0.000 3.451
Si Te H Au
1 2 1 1
direct
0.000 0.000 0.000
0.000 0.500 0.500
0.500 0.000 0.500
0.500 0.500 0.000
0.500 0.500 0.500


Record 2
PBE Sm2ErHg4, optimized geometry; E_form = -0.15 eV per formula unit; uncorrected energy = -15.35 eV for the cell shown; crystal system = tetragonal; volume = 242.84 Å³/f.u.; magnetic moment = 0.00 μB per cell
1.0
-2.798 2.798 7.753
2.798 -2.798 7.753
2.798 2.798 -7.753
Sm Er Hg
2 1 4
direct
0.106 0.106 0.000
0.894 0.894 0.000
0.500 0.500 0.000
0.000 0.500 0.500
0.306 0.306 0.000
0.500 0.000 0.500
0.694 0.694 0.000


Record 3
PBE TaPCl2, optimized geometry; uncorrected energy = -18.38 eV for the cell shown; raw formation energy = 0.6441 eV/atom; crystal system = tetragonal; volume = 71.64 Å³/f.u.; magnetic moment = 0.00 μB per cell
1.0
3.851 0.000 0.000
0.000 3.851 0.000
0.000 0.000 4.831
Ta P Cl
1 1 2
direct
0.000 0.000 0.000
0.500 0.500 0.000
0.000 0.500 0.500
0.500 0.000 0.500


Record 4
PBE DyErTl, optimized geometry; E_form = 0.15 eV per formula unit; uncorrected energy = -22.76 eV for the cell shown; crystal system = tetragonal; volume = 92.55 Å³/f.u.; magnetic moment = 0.00 μB per cell
1.0
-1.758 1.758 14.973
1.758 -1.758 14.973
1.758 1.758 -14.973
Dy Er Tl
2 2 2
direct
0.057 0.057 0.000
0.943 0.943 0.000
0.361 0.361 0.000
0.639 0.639 0.000
0.213 0.213 0.000
0.787 0.787 0.000


Record 5
PBE LiBe3, optimized geometry; E_form = 0.20 eV per formula unit; uncorrected energy = -25.79 eV for the cell shown; crystal system = triclinic; volume = 38.49 Å³/f.u.; magnetic moment = 0.00 μB per cell
1.0
2.290 0.000 0.000
-1.126 5.347 0.000
-0.021 -0.645 6.285
Li Be
2 6
direct
0.129 0.254 0.457
0.871 0.746 0.543
0.091 0.185 0.088
0.235 0.468 0.842
0.442 0.883 0.211
0.558 0.117 0.789
0.765 0.532 0.158
0.909 0.815 0.912


Record 6
PBE Pr8YSc3, optimized geometry; E_form = 4.78 eV per formula unit; uncorrected energy = -58.92 eV for the cell shown; crystal system = orthorhombic; volume = 432.05 Å³/f.u.; magnetic moment = 0.00 μB per cell
1.0
-3.423 5.437 5.803
3.423 -5.437 5.803
3.423 5.437 -5.803
Pr Y Sc
8 1 3
direct
0.083 0.248 0.835
0.211 0.278 0.488
0.211 0.722 0.933
0.413 0.248 0.165
0.587 0.752 0.835
0.789 0.278 0.067
0.789 0.722 0.512
0.917 0.752 0.165
0.500 0.500 0.000
0.000 0.000 0.000
0.213 0.713 0.500
0.787 0.287 0.500


Record 7
PBE LiLaAlAg, optimized geometry; E_form = -1.10 eV per formula unit; uncorrected energy = -14.53 eV for the cell shown; crystal system = cubic; volume = 86.34 Å³/f.u.; magnetic moment = 0.00 μB per cell
1.0
0.000 3.508 3.508
3.508 0.000 3.508
3.508 3.508 0.000
Li La Al Ag
1 1 1 1
direct
0.000 0.000 0.000
0.250 0.250 0.250
0.750 0.750 0.750
0.500 0.500 0.500


Record 8
PBE CaSmAl, optimized geometry; E_form = -0.36 eV per formula unit; uncorrected energy = -21.64 eV for the cell shown; crystal system = trigonal; volume = 92.55 Å³/f.u.; magnetic moment = 0.00 μB per cell
1.0
5.202 0.000 0.000
-2.601 4.505 0.000
0.000 0.000 7.899
Ca Sm Al
2 2 2
direct
0.333 0.667 0.365
0.667 0.333 0.635
0.333 0.667 0.900
0.667 0.333 0.100
0.000 0.000 0.177
0.000 0.000 0.823


Record 9
PBE Rb3InTe2O9, optimized geometry; uncorrected energy = -74.74 eV for the cell shown; raw formation energy = -1.2127 eV/atom; crystal system = trigonal; volume = 214.32 Å³/f.u.; magnetic moment = 0.00 μB per cell
1.0
5.864 0.000 0.000
-2.932 5.079 0.000
0.000 0.000 7.197
Rb In Te O
3 1 2 9
direct
0.000 0.000 0.000
0.333 0.667 0.665
0.667 0.333 0.335
0.000 0.000 0.500
0.333 0.667 0.172
0.667 0.333 0.828
0.000 0.500 0.000
0.175 0.350 0.318
0.175 0.825 0.318
0.350 0.175 0.682
0.500 0.000 0.000
0.500 0.500 0.000
0.650 0.825 0.318
0.825 0.175 0.682
0.825 0.650 0.682


Record 10
PBE SrTaIn2, optimized geometry; E_form = 0.30 eV per formula unit; uncorrected energy = -18.71 eV for the cell shown; crystal system = tetragonal; volume = 96.21 Å³/f.u.; magnetic moment = 0.00 μB per cell
1.0
3.182 0.000 0.000
0.000 3.182 0.000
0.000 0.000 9.499
Sr Ta In
1 1 2
direct
0.000 0.000 0.000
0.000 0.000 0.500
0.500 0.500 0.278
0.500 0.500 0.722


Record 11
PBE Pu3Tc2Ge3, optimized geometry; E_form = -1.55 eV per formula unit; uncorrected energy = -158.27 eV for the cell shown; crystal system = hexagonal; volume = 153.15 Å³/f.u.; magnetic moment = 32.07 μB per cell
1.0
8.169 0.000 0.000
-4.084 7.074 0.000
0.000 0.000 5.301
Pu Tc Ge
6 4 6
direct
0.000 0.241 0.250
0.000 0.759 0.750
0.241 0.000 0.250
0.241 0.241 0.750
0.759 0.000 0.750
0.759 0.759 0.250
0.333 0.667 0.000
0.333 0.667 0.500
0.667 0.333 0.000
0.667 0.333 0.500
0.000 0.410 0.750
0.000 0.590 0.250
0.410 0.000 0.750
0.410 0.410 0.250
0.590 0.000 0.250
0.590 0.590 0.750


Record 12
PBE LaSiIr2, optimized geometry; uncorrected energy = -28.60 eV for the cell shown; raw formation energy = -0.1330 eV/atom; crystal system = tetragonal; volume = 73.22 Å³/f.u.; magnetic moment = 0.00 μB per cell
1.0
-1.999 1.999 4.579
1.999 -1.999 4.579
1.999 1.999 -4.579
La Si Ir
1 1 2
direct
0.000 0.000 0.000
0.250 0.750 0.500
0.500 0.500 0.000
0.750 0.250 0.500


Record 13
PBE PmDy3Th4S8, optimized geometry; uncorrected energy = -111.93 eV for the cell shown; raw formation energy = -1.9170 eV/atom; crystal system = trigonal; volume = 358.94 Å³/f.u.; magnetic moment = 0.00 μB per cell
1.0
3.927 2.267 6.719
-3.927 2.267 6.719
0.000 -4.534 6.719
Pm Dy Th S
1 3 4 8
direct
0.000 0.000 0.000
0.000 0.500 0.500
0.500 0.000 0.500
0.500 0.500 0.000
0.000 0.000 0.500
0.000 0.500 0.000
0.500 0.000 0.000
0.500 0.500 0.500
0.248 0.248 0.741
0.248 0.741 0.248
0.255 0.255 0.255
0.259 0.752 0.752
0.741 0.248 0.248
0.745 0.745 0.745
0.752 0.259 0.752
0.752 0.752 0.259


Record 14
PBE BeCo2PbCl, optimized geometry; uncorrected energy = -18.13 eV for the cell shown; raw formation energy = 1.0716 eV/atom; crystal system = tetragonal; volume = 98.95 Å³/f.u.; magnetic moment = 2.34 μB per cell
1.0
4.094 0.000 0.000
0.000 4.094 0.000
0.000 0.000 5.903
Be Co Pb Cl
1 2 1 1
direct
0.000 0.000 0.000
0.000 0.500 0.500
0.500 0.000 0.500
0.500 0.500 0.000
0.500 0.500 0.500


Record 15
PBE Sr2AcErSe4, optimized geometry; uncorrected energy = -40.93 eV for the cell shown; raw formation energy = -1.8700 eV/atom; crystal system = monoclinic; volume = 232.38 Å³/f.u.; magnetic moment = 0.00 μB per cell
1.0
7.507 0.000 0.000
0.000 4.317 0.000
-2.476 0.000 7.170
Sr Ac Er Se
2 1 1 4
direct
0.000 0.000 0.000
0.500 0.500 0.000
0.000 0.500 0.500
0.500 0.000 0.500
0.265 0.000 0.745
0.271 0.500 0.266
0.729 0.500 0.734
0.735 0.000 0.255


Record 16
PBE Ba2SbS5, optimized geometry; uncorrected energy = -36.63 eV for the cell shown; raw formation energy = -1.0036 eV/atom; crystal system = tetragonal; volume = 224.58 Å³/f.u.; magnetic moment = 0.00 μB per cell
1.0
-3.667 3.667 4.175
3.667 -3.667 4.175
3.667 3.667 -4.175
Ba Sb S
2 1 5
direct
0.000 0.500 0.500
0.500 0.000 0.500
0.305 0.305 0.000
0.004 0.004 0.527
0.004 0.477 0.000
0.477 0.004 0.000
0.477 0.477 0.473
0.603 0.603 0.000


Record 17
PBE Ba2MoP, optimized geometry; E_form = 0.72 eV per formula unit; uncorrected energy = -38.73 eV for the cell shown; crystal system = tetragonal; volume = 165.55 Å³/f.u.; magnetic moment = 0.00 μB per cell
1.0
-5.944 5.944 2.343
5.944 -5.944 2.343
5.944 5.944 -2.343
Ba Mo P
4 2 2
direct
0.375 0.161 0.286
0.839 0.125 0.214
0.875 0.089 0.714
0.911 0.625 0.786
0.000 0.000 0.000
0.750 0.250 0.500
0.250 0.750 0.500
0.500 0.500 0.000


Record 18
PBE AlZn2Se, optimized geometry; uncorrected energy = -9.62 eV for the cell shown; raw formation energy = 0.0385 eV/atom; crystal system = monoclinic; volume = 73.57 Å³/f.u.; magnetic moment = 0.00 μB per cell
1.0
2.633 -3.949 0.000
2.633 3.949 0.000
-0.687 0.000 3.538
Al Zn Se
1 2 1
direct
0.000 0.000 0.000
0.000 0.500 0.500
0.500 0.000 0.500
0.500 0.500 0.000


Record 19
PBE SmScAsH, optimized geometry; uncorrected energy = -45.90 eV for the cell shown; crystal system = tetragonal; volume = 71.81 Å³/f.u.; magnetic moment = 0.59 μB per cell
1.0
4.094 0.000 0.000
0.000 4.094 0.000
0.000 0.000 8.569
Sm Sc As H
2 2 2 2
direct
0.250 0.250 0.146
0.750 0.750 0.854
0.250 0.750 0.500
0.750 0.250 0.500
0.250 0.250 0.722
0.750 0.750 0.278
0.250 0.750 0.000
0.750 0.250 0.000


Record 20
PBE Sr8TlHg2, optimized geometry; E_form = -2.62 eV per formula unit; uncorrected energy = -19.05 eV for the cell shown; crystal system = monoclinic; volume = 471.54 Å³/f.u.; magnetic moment = 0.00 μB per cell
1.0
5.090 -7.584 0.000
5.090 7.584 0.000
-1.798 0.000 6.108
Sr Tl Hg
8 1 2
direct
0.000 0.000 0.000
0.045 0.302 0.597
0.138 0.601 0.189
0.302 0.045 0.597
0.440 0.697 0.775
0.601 0.138 0.189
0.697 0.440 0.775
0.737 0.737 0.377
0.367 0.367 0.244
0.056 0.686 0.689
0.686 0.056 0.689